Entry from Alexandria via LeMat-Bulk: a relaxed structure of Ba4AlRh (GGA-PBE).

## Properties
The calculation puts the volume at 234 Å³/cell. The calculation puts the calculated formation energy at 18.83 kcal/mol of atoms. For the electronic total energy, the calculation gives -13.89 eV per formula unit. The value obtained for the total magnetization is 0.34 μB per formula unit.

Cell: 6.9132 6.9132 6.9132 Å, 60.00 60.00 60.00°
Fractional positions:
Rh: 0.7500 0.7500 0.7500
Ba: 0.3754 0.3754 0.8737
Ba: 0.8737 0.3754 0.3754
Ba: 0.3754 0.8737 0.3754
Ba: 0.3754 0.3754 0.3754
Al: 0.0000 0.0000 0.0000